1.
Density functional theory data (GGA-PBEsol) for a relaxed structure of LaY2Zn2.

Cell: 3.739 8.146 8.146 Å, 90.00 90.00 90.00°
Fractional positions:
Y 0.500 0.167 0.667
Y 0.500 0.667 0.833
Y 0.500 0.833 0.333
Y 0.500 0.333 0.167
Zn 0.000 0.375 0.875
Zn 0.000 0.875 0.625
Zn 0.000 0.625 0.125
Zn 0.000 0.125 0.375
La 0.000 0.000 0.000
La 0.000 0.500 0.500

Values from the calculation:
* DFT formation energy: -1.1 eV per formula unit
* density: 5.99 Mg/m³
* calculated total energy: -4.6416 eV per atom
* symmetry: P4/mbm (127)

***

2.
Density functional theory data (GGA-PBEsol) for a relaxed structure of CoPbF2.

Cell: 4.337 4.337 4.337 Å, 60.00 60.00 60.00°
Site moments in Bohr magnetons follow the coordinates.
Fractional positions:
Pb 0.500 0.500 0.500  0.02
Co 0.000 0.000 0.000  2.07
F 0.250 0.250 0.250  0.06
F 0.750 0.750 0.750  0.06

Values from the calculation:
* density: 8.76 Mg/m³
* energy relative to the elements, uncorrected: -625 meV/atom
* calculated total energy: -4.5223 eV per atom
* symmetry: Fm-3m (225)

***

3.
Density functional theory data (GGA-PBEsol) for a relaxed structure of ZrTcP2Cl.

Cell: 4.516 4.516 4.642 Å, 90.00 90.00 90.00°
Site moments in Bohr magnetons follow the coordinates.
Fractional positions:
P 0.000 0.500 0.000  0.00
P 0.500 0.000 0.000  0.00
Tc 0.000 0.000 0.000  0.06
Zr 0.500 0.500 0.500  0.13
Cl 0.000 0.000 0.500  0.00

Values from the calculation:
* density: 5.03 Mg/m³
* energy relative to the elements, uncorrected: 281 meV/atom
* calculated total energy: -6.5085 eV per atom
* symmetry: P4/mmm (123)

***

4.
Density functional theory data (GGA-PBEsol) for a relaxed structure of Y4Cu.

Cell: 5.738 5.738 5.738 Å, 109.47 109.47 109.47°
Fractional positions:
Cu 0.000 0.000 0.000
Y 0.000 0.000 0.500
Y 0.000 0.500 0.000
Y 0.500 0.000 0.000
Y 0.500 0.500 0.500

Values from the calculation:
* DFT formation energy: 1.9 eV per formula unit
* density: 4.79 Mg/m³
* calculated total energy: -5.9378 eV per atom
* symmetry: Im-3m (229)

***

5.
Density functional theory data (GGA-PBEsol) for a relaxed structure of K2Hg.

Cell: 6.966 6.966 6.966 Å, 104.90 104.90 119.06°
Fractional positions:
K 0.825 0.325 0.150
K 0.175 0.675 0.850
K 0.325 0.175 0.500
K 0.675 0.825 0.500
Hg 0.750 0.750 0.000
Hg 0.250 0.250 0.000

Values from the calculation:
* DFT formation energy: -0.4 eV per formula unit
* density: 3.64 Mg/m³
* calculated total energy: -1.0830 eV per atom
* symmetry: I4/mcm (140)

***

6.
Density functional theory data (GGA-PBEsol) for a relaxed structure of PdPbCl2.

Cell: 4.854 4.854 4.854 Å, 60.00 60.00 60.00°
Fractional positions:
Pb 0.500 0.500 0.500
Pd 0.000 0.000 0.000
Cl 0.250 0.250 0.250
Cl 0.750 0.750 0.750

Values from the calculation:
* density: 7.90 Mg/m³
* energy relative to the elements, uncorrected: -329 meV/atom
* calculated total energy: -3.8222 eV per atom
* symmetry: Fm-3m (225)

***

7.
Density functional theory data (GGA-PBEsol) for a relaxed structure of ZrMn2Ag.

Cell: 2.850 2.850 9.064 Å, 80.95 80.95 60.00°
Site moments in Bohr magnetons follow the coordinates.
Fractional positions:
Ag 0.258 0.258 0.226  -0.01
Mn 0.009 0.009 0.974  2.72
Mn 0.739 0.739 0.784  -2.53
Zr 0.495 0.495 0.515  -0.08

Values from the calculation:
* DFT formation energy: 1.5 eV per formula unit
* density: 8.18 Mg/m³
* calculated total energy: -7.6080 eV per atom
* symmetry: R3m (160)

***

8.
Density functional theory data (GGA-PBEsol) for a relaxed structure of SrLaTa4.

Cell: 5.766 5.766 5.766 Å, 60.00 60.00 60.00°
Fractional positions:
La 0.750 0.750 0.750
Sr 0.000 0.000 0.000
Ta 0.375 0.375 0.375
Ta 0.375 0.375 0.876
Ta 0.876 0.375 0.375
Ta 0.375 0.876 0.375

Values from the calculation:
* DFT formation energy: 3.8 eV per formula unit
* density: 11.64 Mg/m³
* calculated total energy: -8.9401 eV per atom
* symmetry: F-43m (216)

***

9.
Density functional theory data (GGA-PBEsol) for a relaxed structure of MgTaHg2.

Cell: 2.963 4.053 6.340 Å, 90.00 89.93 90.00°
Fractional positions:
Hg 0.000 0.000 0.749
Hg 0.000 0.000 0.251
Mg 0.500 0.500 0.000
Ta 0.500 0.500 0.500

Values from the calculation:
* DFT formation energy: 0.7 eV per formula unit
* density: 13.22 Mg/m³
* calculated total energy: -3.6808 eV per atom
* symmetry: Pmmm (47)

***

10.
Density functional theory data (GGA-PBEsol) for a relaxed structure of BiH2Rh2.

Cell: 3.297 3.297 5.795 Å, 106.53 106.53 90.00°
Fractional positions:
H 0.250 0.750 0.500
H 0.750 0.250 0.500
Rh 0.336 0.336 0.672
Rh 0.664 0.664 0.328
Bi 0.000 0.000 0.000

Values from the calculation:
* density: 12.00 Mg/m³
* calculated total energy: -5.4335 eV per atom
* symmetry: I4/mmm (139)

***

11.
Density functional theory data (GGA-PBEsol) for a relaxed structure of Cd4InPb.

Cell: 5.861 5.861 5.861 Å, 60.00 60.00 60.00°
Fractional positions:
Cd 0.375 0.375 0.375
Cd 0.375 0.375 0.875
Cd 0.875 0.375 0.375
Cd 0.375 0.875 0.375
In 0.750 0.750 0.750
Pb 0.000 0.000 0.000

Values from the calculation:
* DFT formation energy: 0.3 eV per formula unit
* density: 9.00 Mg/m³
* calculated total energy: -1.9138 eV per atom
* symmetry: F-43m (216)

***

12.
Density functional theory data (GGA-PBEsol) for a relaxed structure of CaInSi2.

Cell: 3.165 3.165 8.326 Å, 90.00 90.00 90.00°
Fractional positions:
Ca 0.500 0.500 0.000
In 0.500 0.500 0.500
Si 0.000 0.000 0.744
Si 0.000 0.000 0.256

Values from the calculation:
* density: 4.20 Mg/m³
* energy relative to the elements, uncorrected: 146 meV/atom
* calculated total energy: -4.0066 eV per atom
* symmetry: P4/mmm (123)

***

Q: What is the calculated total energy in the fifth record?
A: -1.0830 eV per atom

***

Q: Among the records above, which one has the lowest density?
A: K2Hg